[1]
# PBE Sm2Ni12As7, optimized geometry
data_Sm2Ni12As7
_chemical_formula_sum 'Sm2 Ni12 As7'
_cell_length_a 9.3858
_cell_length_b 9.3858
_cell_length_c 3.8835
_cell_angle_alpha 90.00
_cell_angle_beta 90.00
_cell_angle_gamma 120.00
_space_group_name_H-M_alt 'P -6'
_space_group_IT_number 174
loop_
_space_group_symop_operation_xyz
'x,y,z'
'-x+y,-x,-z'
'-y,x-y,z'
'x,y,-z'
'-x+y,-x,z'
'-y,x-y,-z'
loop_
_atom_site_label
_atom_site_type_symbol
_atom_site_fract_x
_atom_site_fract_y
_atom_site_fract_z
Sm1 Sm 0.0000 0.0000 0.0000
Sm2 Sm 0.3333 0.6667 0.5000
Ni1 Ni 0.0471 0.2767 0.5000
Ni2 Ni 0.0906 0.7090 0.0000
Ni3 Ni 0.4600 0.2216 0.0000
Ni4 Ni 0.5174 0.4629 0.5000
As1 As 0.0701 0.4381 0.0000
As2 As 0.2649 0.2198 0.5000
As3 As 0.6667 0.3333 0.5000
# Formation energy, eV/atom: -0.538
# E_tot, eV per atom: -5.841
# Density of states at the Fermi level, states/eV/atom: 0.6303

[2]
# PBE YZrFeBi2, optimized geometry
data_YZrFeBi2
_chemical_formula_sum 'Y1 Zr1 Fe1 Bi2'
_cell_length_a 5.586
_cell_length_b 5.586
_cell_length_c 5.580
_cell_angle_alpha 90.00
_cell_angle_beta 90.00
_cell_angle_gamma 90.00
_space_group_name_H-M_alt 'P 4/m m m'
_space_group_IT_number 123
_space_group_name_Hall '-P 4 2'
loop_
_atom_site_label
_atom_site_type_symbol
_atom_site_fract_x
_atom_site_fract_y
_atom_site_fract_z
Y1 Y 0.000 0.000 0.000
Zr1 Zr 0.000 0.000 0.500
Fe1 Fe 0.500 0.500 0.000
Bi1 Bi 0.000 0.500 0.500
# Formation energy, eV/atom: 0.936
# E_tot, eV per atom: -5.312
# Density of states at the Fermi level, states/eV/atom: 1.0890

[3]
# PBE MgPaGe2, optimized geometry
data_MgPaGe2
_chemical_formula_sum 'Mg3 Pa3 Ge6'
_cell_length_a 4.5314
_cell_length_b 4.5314
_cell_length_c 14.2314
_cell_angle_alpha 90.00
_cell_angle_beta 90.00
_cell_angle_gamma 120.00
_space_group_name_H-M_alt 'R -3 m'
_space_group_IT_number 166
_space_group_name_Hall '-R 3 2"'
loop_
_atom_site_label
_atom_site_type_symbol
_atom_site_fract_x
_atom_site_fract_y
_atom_site_fract_z
Mg1 Mg 0.0000 0.0000 0.0000
Pa1 Pa 0.0000 0.0000 0.5000
Ge1 Ge 0.0000 0.0000 0.2597
# Formation energy, eV/atom: -0.271
# Energy relative to the lowest polymorph listed for this composition, eV/f.u.: 0.47
# E_tot, eV per atom: -5.352
# Density of states at the Fermi level, states/eV/atom: 1.0800

[4]
# PBE Sn3SbTe2, optimized geometry
data_Sn3SbTe2
_chemical_formula_sum 'Sn12 Sb4 Te8'
_cell_length_a 9.008
_cell_length_b 6.241
_cell_length_c 13.425
_cell_angle_alpha 90.00
_cell_angle_beta 90.00
_cell_angle_gamma 90.00
_space_group_name_H-M_alt 'P n m a'
_space_group_IT_number 62
loop_
_space_group_symop_operation_xyz
'x,y,z'
'-x,-y,-z'
'-x+1/2,-y,z+1/2'
'x+1/2,y,-z+1/2'
'x+1/2,-y+1/2,-z+1/2'
'-x+1/2,y+1/2,z+1/2'
'-x,y+1/2,-z'
'x,-y+1/2,z'
loop_
_atom_site_label
_atom_site_type_symbol
_atom_site_fract_x
_atom_site_fract_y
_atom_site_fract_z
Sn1 Sn 0.108 0.250 0.081
Sn2 Sn 0.123 0.250 0.747
Sn3 Sn 0.135 0.250 0.422
Sb1 Sb 0.124 0.750 0.086
Te1 Te 0.125 0.750 0.417
Te2 Te 0.126 0.750 0.749
# Raw formation energy, meV per atom: -178
# E_tot, eV per atom: -3.914
# Density of states at the Fermi level, states/eV/atom: 0.2785

[5]
# PBE CeAgSbN, optimized geometry
data_CeAgSbN
_chemical_formula_sum 'Ce2 Ag2 Sb2 N2'
_cell_length_a 4.060
_cell_length_b 4.060
_cell_length_c 10.393
_cell_angle_alpha 90.00
_cell_angle_beta 90.00
_cell_angle_gamma 90.00
_space_group_name_H-M_alt 'P 4/n m m'
_space_group_IT_number 129
loop_
_space_group_symop_operation_xyz
'x,y,z'
'-x,-y,-z'
'-y+1/2,x,z'
'y+1/2,-x,-z'
'-x+1/2,-y+1/2,z'
'x+1/2,y+1/2,-z'
'y,-x+1/2,z'
'-y,x+1/2,-z'
'x+1/2,-y,-z'
'-x+1/2,y,z'
'-y,-x,-z'
'y,x,z'
'-x,y+1/2,-z'
'x,-y+1/2,z'
'y+1/2,x+1/2,-z'
'-y+1/2,-x+1/2,z'
loop_
_atom_site_label
_atom_site_type_symbol
_atom_site_fract_x
_atom_site_fract_y
_atom_site_fract_z
Ce1 Ce 0.250 0.250 0.104
Ag1 Ag 0.250 0.750 0.500
Sb1 Sb 0.250 0.250 0.697
N1 N 0.250 0.750 0.000
# Raw formation energy, meV per atom: -791
# E_tot, eV per atom: -6.099
# Density of states at the Fermi level, states/eV/atom: 0.4749

[6]
# PBE Sr2ScNbIr, optimized geometry
data_Sr2ScNbIr
_chemical_formula_sum 'Sr2 Sc1 Nb1 Ir1'
_cell_length_a 5.756
_cell_length_b 5.756
_cell_length_c 4.577
_cell_angle_alpha 90.00
_cell_angle_beta 90.00
_cell_angle_gamma 90.00
_space_group_name_H-M_alt 'P 4/m m m'
_space_group_IT_number 123
_space_group_name_Hall '-P 4 2'
loop_
_atom_site_label
_atom_site_type_symbol
_atom_site_fract_x
_atom_site_fract_y
_atom_site_fract_z
Sr1 Sr 0.000 0.500 0.000
Sc1 Sc 0.000 0.000 0.000
Nb1 Nb 0.000 0.000 0.500
Ir1 Ir 0.500 0.500 0.500
# Formation energy, eV/atom: 1.574
# E_tot, eV per atom: -4.151
# Density of states at the Fermi level, states/eV/atom: 1.5865

[7]
# PBE PmDyMgTl, optimized geometry
data_PmDyMgTl
_chemical_formula_sum 'Pm4 Dy4 Mg4 Tl4'
_cell_length_a 7.639
_cell_length_b 7.639
_cell_length_c 7.639
_cell_angle_alpha 90.00
_cell_angle_beta 90.00
_cell_angle_gamma 90.00
_space_group_name_H-M_alt 'F -4 3 m'
_space_group_IT_number 216
_space_group_name_Hall 'F -4 2 3'
loop_
_atom_site_label
_atom_site_type_symbol
_atom_site_fract_x
_atom_site_fract_y
_atom_site_fract_z
Pm1 Pm 0.000 0.000 0.000
Dy1 Dy 0.000 0.000 0.500
Mg1 Mg 0.250 0.250 0.250
Tl1 Tl 0.250 0.250 0.750
# Formation energy, eV/atom: -0.247
# E_tot, eV per atom: -3.575
# Density of states at the Fermi level, states/eV/atom: 0.8619